Entry 1:
First-principles (PBE) data for K2YSF after structural relaxation, as listed in Alexandria via LeMat-Bulk.

abc: 5.090 5.090 4.924
angles: 90.00 90.00 90.00
Space group P4/mmm (No. 123)
Asymmetric unit:
K 0.000 0.500 0.000
Y 0.000 0.000 0.500
S 0.500 0.500 0.500
F 0.000 0.000 0.000

## Properties
As for the uncorrected formation energy: -5.248 eV per formula unit. The value obtained for the density of states at the Fermi level is 4.5 states/eV/cell. For the total energy, the calculation gives -3.981 eV per atom. The value obtained for the size of the total moment is 1.8 μB/f.u.


Entry 2:
First-principles (PBE) data for K2AcPuTe4 after structural relaxation, as listed in Alexandria via LeMat-Bulk.

abc: 8.194 4.725 8.663
angles: 90.00 108.44 90.00
Space group P2/m (No. 10)
Asymmetric unit:
K 0.000 0.000 0.000
K 0.500 0.500 0.000
Ac 0.000 0.500 0.500
Pu 0.500 0.000 0.500
Te 0.252 0.000 0.721
Te 0.277 0.500 0.289

## Properties
As for the uncorrected formation energy: -10.278 eV per formula unit. The value obtained for the density of states at the Fermi level is 14.1 states/eV/cell. For the total energy, the calculation gives -5.435 eV per atom. The value obtained for the size of the total moment is 5.0 μB/f.u.


Entry 3:
First-principles (PBE) data for Rb3CeEr2S6 after structural relaxation, as listed in Alexandria via LeMat-Bulk.

abc: 7.132 12.353 8.036
angles: 90.00 107.22 90.00
Space group C2/m (No. 12)
Asymmetric unit:
Rb 0.000 0.000 0.000
Rb 0.000 0.334 0.000
Ce 0.000 0.500 0.500
Er 0.000 0.167 0.500
S 0.220 0.000 0.692
S 0.236 0.328 0.692

## Properties
As for the uncorrected formation energy: -21.809 eV per formula unit. The value obtained for the density of states at the Fermi level is 9.3 states/eV/cell. For the total energy, the calculation gives -5.378 eV per atom. The value obtained for the size of the total moment is 1.0 μB/f.u.


Entry 4:
First-principles (PBE) data for MnHgPBr after structural relaxation, as listed in Alexandria via LeMat-Bulk.

abc: 4.307 4.479 6.059
angles: 90.00 90.00 90.00
Space group Pmm2 (No. 25)
Asymmetric unit:
Mn 0.000 0.000 0.000
Hg 0.500 0.500 0.649
P 0.500 0.000 0.808
Br 0.000 0.500 0.236

## Properties
As for the uncorrected formation energy: -0.483 eV per formula unit. The value obtained for the density of states at the Fermi level is 0.1 states/eV/cell. For the total energy, the calculation gives -4.259 eV per atom. The value obtained for the size of the total moment is 5.0 μB/f.u.


Entry 5:
First-principles (PBE) data for Li2PCl after structural relaxation, as listed in Alexandria via LeMat-Bulk.

abc: 3.2008 3.2008 21.5316
angles: 90.00 90.00 120.00
Space group R-3m (No. 166, hexagonal axes)
Asymmetric unit:
Li 0.0000 0.0000 0.2391
P 0.0000 0.0000 0.0000
Cl 0.0000 0.0000 0.5000

## Properties
As for the uncorrected formation energy: -3.372 eV per formula unit. The value obtained for the density of states at the Fermi level is 2.5 states/eV/cell. For the total energy, the calculation gives -3.614 eV per atom. The value obtained for the size of the total moment is 0.0 μB/f.u.


Entry 6:
First-principles (PBE) data for Dy5Er3Cd after structural relaxation, as listed in Alexandria via LeMat-Bulk.

abc: 11.879 11.301 9.977
angles: 90.00 108.65 90.00
Space group C2/m (No. 12)
Asymmetric unit:
Dy 0.000 0.238 0.000
Dy 0.182 0.241 0.781
Dy 0.240 0.000 0.055
Dy 0.250 0.000 0.412
Er 0.000 0.000 0.500
Er 0.000 0.500 0.000
Er 0.002 0.500 0.672
Er 0.004 0.000 0.181
Cd 0.233 0.500 0.264

## Properties
The value obtained for the density of states at the Fermi level is 53.1 states/eV/cell. The value obtained for the formation energy from the elements is 415 meV/atom. For the total energy, the calculation gives -3.764 eV per atom. The value obtained for the size of the total moment is 0.0 μB/f.u.